No. 1
{
  "formula": "TbHfZnCo",
  "functional": "PBE-GGA",
  "state": "relaxed",
  "total_magnetization_mub_per_cell": 0.38,
  "n_ef_per_ev_atom": 0.76,
  "final_energy_ev_per_atom": -5.88,
  "spacegroup": "No. 216",
  "density_g_cm3": 10.2,
  "e_form_ev_per_atom": -0.142,
  "cell": [[0.000, 3.344, 3.344], [3.344, 0.000, 3.344], [3.344, 3.344, 0.000]],
  "species": ["Tb", "Hf", "Zn", "Co"],
  "frac_coords": [[0.000, 0.000, 0.000], [0.500, 0.500, 0.500], [0.750, 0.750, 0.750], [0.250, 0.250, 0.250]]
}

***

No. 2
{
  "formula": "HfCo2Tc",
  "functional": "PBE-GGA",
  "state": "relaxed",
  "total_magnetization_mub_per_cell": 0.00,
  "n_ef_per_ev_atom": 1.44,
  "final_energy_ev_per_atom": -8.74,
  "spacegroup": "No. 123",
  "density_g_cm3": 11.9,
  "e_form_ev_per_atom": -0.108,
  "relative_energy_ev_per_atom": 0.000,
  "cell": [[3.873, 0.000, 0.000], [0.000, 3.873, 0.000], [0.000, 0.000, 3.683]],
  "species": ["Hf", "Co", "Co", "Tc"],
  "frac_coords": [[0.000, 0.000, 0.000], [0.000, 0.500, 0.500], [0.500, 0.000, 0.500], [0.500, 0.500, 0.000]]
}

***

No. 3
{
  "formula": "HfCo2Tc",
  "functional": "PBE-GGA",
  "state": "relaxed",
  "total_magnetization_mub_per_cell": 1.88,
  "n_ef_per_ev_atom": 1.49,
  "final_energy_ev_per_atom": -8.16,
  "spacegroup": "No. 122",
  "density_g_cm3": 10.6,
  "e_form_ev_per_atom": 0.470,
  "relative_energy_ev_per_atom": 0.578,
  "cell": [[-1.908, 1.908, 8.509], [1.908, -1.908, 8.509], [1.908, 1.908, -8.509]],
  "species": ["Hf", "Hf", "Co", "Co", "Co", "Co", "Tc", "Tc"],
  "frac_coords": [[0.000, 0.000, 0.000], [0.750, 0.250, 0.500], [0.162, 0.625, 0.037], [0.375, 0.412, 0.537], [0.588, 0.125, 0.963], [0.875, 0.838, 0.463], [0.250, 0.750, 0.500], [0.500, 0.500, 0.000]]
}

***

No. 4
{
  "formula": "HfCoTc2",
  "functional": "PBE-GGA",
  "state": "relaxed",
  "total_magnetization_mub_per_cell": 3.02,
  "n_ef_per_ev_atom": 1.47,
  "final_energy_ev_per_atom": -9.39,
  "spacegroup": "No. 225",
  "density_g_cm3": 11.8,
  "e_form_ev_per_atom": 0.059,
  "relative_energy_ev_per_atom": 0.000,
  "cell": [[0.000, 3.122, 3.122], [3.122, 0.000, 3.122], [3.122, 3.122, 0.000]],
  "species": ["Hf", "Co", "Tc", "Tc"],
  "frac_coords": [[0.000, 0.000, 0.000], [0.500, 0.500, 0.500], [0.250, 0.250, 0.250], [0.750, 0.750, 0.750]]
}

***

No. 5
{
  "formula": "HfCo2Tc",
  "functional": "PBE-GGA",
  "state": "relaxed",
  "total_magnetization_mub_per_cell": 4.23,
  "n_ef_per_ev_atom": 0.48,
  "final_energy_ev_per_atom": -8.72,
  "spacegroup": "No. 225",
  "density_g_cm3": 11.4,
  "e_form_ev_per_atom": -0.091,
  "relative_energy_ev_per_atom": 0.017,
  "cell": [[0.000, 3.064, 3.064], [3.064, 0.000, 3.064], [3.064, 3.064, 0.000]],
  "species": ["Hf", "Co", "Co", "Tc"],
  "frac_coords": [[0.000, 0.000, 0.000], [0.250, 0.250, 0.250], [0.750, 0.750, 0.750], [0.500, 0.500, 0.500]]
}

***

No. 6
{
  "formula": "HfCo2Tc2",
  "functional": "PBE-GGA",
  "state": "relaxed",
  "total_magnetization_mub_per_cell": 1.33,
  "n_ef_per_ev_atom": 1.13,
  "final_energy_ev_per_atom": -8.98,
  "spacegroup": "No. 127",
  "density_g_cm3": 11.6,
  "e_form_ev_per_atom": 0.000,
  "relative_energy_ev_per_atom": 0.000,
  "cell": [[7.254, 0.000, 0.000], [0.000, 7.254, 0.000], [0.000, 0.000, 2.687]],
  "species": ["Hf", "Hf", "Co", "Co", "Co", "Co", "Tc", "Tc", "Tc", "Tc"],
  "frac_coords": [[0.000, 0.000, 0.000], [0.500, 0.500, 0.000], [0.118, 0.382, 0.000], [0.382, 0.882, 0.000], [0.618, 0.118, 0.000], [0.882, 0.618, 0.000], [0.176, 0.676, 0.500], [0.324, 0.176, 0.500], [0.676, 0.824, 0.500], [0.824, 0.324, 0.500]]
}

***

No. 7
{
  "formula": "Hf3Co2Tc",
  "functional": "PBE-GGA",
  "state": "relaxed",
  "total_magnetization_mub_per_cell": 0.49,
  "n_ef_per_ev_atom": 0.61,
  "final_energy_ev_per_atom": -9.53,
  "spacegroup": "No. 65",
  "density_g_cm3": 12.8,
  "e_form_ev_per_atom": -0.455,
  "relative_energy_ev_per_atom": 0.008,
  "cell": [[2.246, -6.700, 0.000], [2.246, 6.700, 0.000], [0.000, 0.000, 3.239]],
  "species": ["Hf", "Hf", "Hf", "Co", "Co", "Tc"],
  "frac_coords": [[0.000, 0.000, 0.000], [0.331, 0.669, 0.000], [0.669, 0.331, 0.000], [0.168, 0.832, 0.500], [0.832, 0.168, 0.500], [0.500, 0.500, 0.500]]
}

***

No. 8
{
  "formula": "HfCoTc",
  "functional": "PBE-GGA",
  "state": "relaxed",
  "total_magnetization_mub_per_cell": 2.54,
  "n_ef_per_ev_atom": 1.37,
  "final_energy_ev_per_atom": -9.32,
  "spacegroup": "No. 63",
  "density_g_cm3": 12.1,
  "e_form_ev_per_atom": -0.174,
  "relative_energy_ev_per_atom": 0.160,
  "cell": [[1.661, -6.388, 0.000], [1.661, 6.388, 0.000], [0.000, 0.000, 4.329]],
  "species": ["Hf", "Hf", "Co", "Co", "Tc", "Tc"],
  "frac_coords": [[0.093, 0.907, 0.750], [0.907, 0.093, 0.250], [0.244, 0.756, 0.250], [0.756, 0.244, 0.750], [0.406, 0.594, 0.750], [0.594, 0.406, 0.250]]
}

***

No. 9
{
  "formula": "Hf4Co2Tc",
  "functional": "PBE-GGA",
  "state": "relaxed",
  "total_magnetization_mub_per_cell": 0.00,
  "n_ef_per_ev_atom": 0.86,
  "final_energy_ev_per_atom": -9.46,
  "spacegroup": "No. 139",
  "density_g_cm3": 12.2,
  "e_form_ev_per_atom": -0.261,
  "cell": [[-3.159, 3.159, 3.173], [3.159, -3.159, 3.173], [3.159, 3.159, -3.173]],
  "species": ["Hf", "Hf", "Hf", "Hf", "Co", "Co", "Tc"],
  "frac_coords": [[0.000, 0.000, 0.500], [0.000, 0.500, 0.000], [0.500, 0.000, 0.000], [0.500, 0.500, 0.500], [0.000, 0.500, 0.500], [0.500, 0.000, 0.500], [0.000, 0.000, 0.000]]
}

***

No. 10
{
  "formula": "HfCoTc2",
  "functional": "PBE-GGA",
  "state": "relaxed",
  "total_magnetization_mub_per_cell": 0.00,
  "n_ef_per_ev_atom": 1.66,
  "final_energy_ev_per_atom": -9.11,
  "spacegroup": "No. 122",
  "density_g_cm3": 11.0,
  "e_form_ev_per_atom": 0.340,
  "relative_energy_ev_per_atom": 0.281,
  "cell": [[-3.680, 3.680, 2.419], [3.680, -3.680, 2.419], [3.680, 3.680, -2.419]],
  "species": ["Hf", "Hf", "Co", "Co", "Tc", "Tc", "Tc", "Tc"],
  "frac_coords": [[0.000, 0.000, 0.000], [0.750, 0.250, 0.500], [0.250, 0.750, 0.500], [0.500, 0.500, 0.000], [0.185, 0.625, 0.060], [0.375, 0.435, 0.560], [0.565, 0.125, 0.940], [0.875, 0.815, 0.440]]
}

***

No. 11
{
  "formula": "Hf2CoTc3",
  "functional": "PBE-GGA",
  "state": "relaxed",
  "total_magnetization_mub_per_cell": 1.06,
  "n_ef_per_ev_atom": 1.13,
  "final_energy_ev_per_atom": -10.03,
  "spacegroup": "No. 166",
  "density_g_cm3": 12.1,
  "e_form_ev_per_atom": -0.342,
  "cell": [[2.566, 1.481, 4.266], [-2.566, 1.481, 4.266], [0.000, -2.962, 4.266]],
  "species": ["Hf", "Hf", "Co", "Tc", "Tc", "Tc"],
  "frac_coords": [[0.124, 0.124, 0.124], [0.876, 0.876, 0.876], [0.500, 0.500, 0.500], [0.000, 0.500, 0.500], [0.500, 0.000, 0.500], [0.500, 0.500, 0.000]]
}

***

No. 12
{
  "formula": "Hf3CoTc",
  "functional": "PBE-GGA",
  "state": "relaxed",
  "total_magnetization_mub_per_cell": 0.00,
  "n_ef_per_ev_atom": 2.59,
  "final_energy_ev_per_atom": -8.54,
  "spacegroup": "No. 221",
  "density_g_cm3": 9.7,
  "e_form_ev_per_atom": 0.928,
  "relative_energy_ev_per_atom": 0.488,
  "cell": [[4.915, 0.000, 0.000], [0.000, 4.915, 0.000], [0.000, 0.000, 4.915]],
  "species": ["Hf", "Hf", "Hf", "Co", "Tc"],
  "frac_coords": [[0.000, 0.000, 0.500], [0.000, 0.500, 0.000], [0.500, 0.000, 0.000], [0.500, 0.500, 0.500], [0.000, 0.000, 0.000]]
}

***

No. 13
{
  "formula": "Hf3CoTc",
  "functional": "PBE-GGA",
  "state": "relaxed",
  "total_magnetization_mub_per_cell": 0.00,
  "n_ef_per_ev_atom": 0.93,
  "final_energy_ev_per_atom": -9.03,
  "spacegroup": "No. 221",
  "density_g_cm3": 11.3,
  "e_form_ev_per_atom": 0.439,
  "relative_energy_ev_per_atom": 0.000,
  "cell": [[4.674, 0.000, 0.000], [0.000, 4.674, 0.000], [0.000, 0.000, 4.674]],
  "species": ["Hf", "Hf", "Hf", "Co", "Tc"],
  "frac_coords": [[0.000, 0.000, 0.500], [0.000, 0.500, 0.000], [0.500, 0.000, 0.000], [0.000, 0.000, 0.000], [0.500, 0.500, 0.500]]
}